The following is a DFT calculation (GGA-PBEsol) of an optimized crystal structure of Mn6Zn2CN.

magnetization	8.93	μB per formula unit
symmetry	P4/mmm
final energy	-81.16	eV per formula unit

abc: 3.753 3.753 7.510
angles: 90.00 90.00 90.00
Positions (direct):
1 Mn 0.000 0.000 0.247
2 Mn 0.000 0.000 0.753
3 Mn 0.000 0.500 0.000
4 Mn 0.000 0.500 0.500
5 Mn 0.500 0.000 0.000
6 Mn 0.500 0.000 0.500
7 Zn 0.500 0.500 0.252
8 Zn 0.500 0.500 0.748
9 C 0.000 0.000 0.500
10 N 0.000 0.000 0.000



The following is a DFT calculation (GGA-PBEsol) of an optimized crystal structure of RbGeBi3.

ΔH_f (0 K)	234	meV per atom
magnetization	0.00	μB per formula unit
symmetry	Pm-3m
final energy	-17.65	eV per formula unit

abc: 5.626 5.626 5.626
angles: 90.00 90.00 90.00
Positions (direct):
1 Ge 0.000 0.000 0.000
2 Bi 0.000 0.500 0.000
3 Bi 0.000 0.000 0.500
4 Bi 0.500 0.000 0.000
5 Rb 0.500 0.500 0.500



The following is a DFT calculation (GGA-PBEsol) of an optimized crystal structure of Mn5Fe.

ΔH_f (0 K)	25	meV per atom
magnetization	0.00	μB per formula unit
symmetry	Amm2
final energy	-57.62	eV per formula unit

abc: 2.440 3.925 6.488
angles: 90.00 100.84 90.00
Positions (direct):
1 Fe 0.000 0.000 0.999
2 Mn 0.335 0.000 0.670
3 Mn 0.666 0.000 0.332
4 Mn 0.445 0.500 0.890
5 Mn 0.777 0.500 0.554
6 Mn 0.111 0.500 0.222



The following is a DFT calculation (GGA-PBEsol) of an optimized crystal structure of ZrHgMo2.

ΔH_f (0 K)	235	meV per atom
magnetization	0.00	μB per formula unit
symmetry	R3m
final energy	-32.25	eV per formula unit

abc: 3.106 3.106 9.018
angles: 80.08 80.08 60.00
Positions (direct):
1 Hg 0.253 0.253 0.240
2 Mo 0.010 0.010 0.971
3 Mo 0.744 0.744 0.769
4 Zr 0.493 0.493 0.521



The following is a DFT calculation (GGA-PBEsol) of an optimized crystal structure of CeSbPd.

magnetization	1.03	μB per formula unit
symmetry	P6_3/mmc
final energy	-19.91	eV per formula unit

abc: 4.552 4.552 7.726
angles: 90.00 90.00 120.00
Positions (direct):
1 Ce 0.000 0.000 0.000
2 Ce 0.000 0.000 0.500
3 Sb 0.333 0.667 0.750
4 Sb 0.667 0.333 0.250
5 Pd 0.333 0.667 0.250
6 Pd 0.667 0.333 0.750



The following is a DFT calculation (GGA-PBEsol) of an optimized crystal structure of MnAgAu2.

ΔH_f (0 K)	56	meV per atom
magnetization	4.08	μB per formula unit
symmetry	Pmm2
final energy	-20.70	eV per formula unit

abc: 2.843 4.665 4.866
angles: 90.00 90.00 90.00
Positions (direct):
1 Mn 0.500 0.000 0.547
2 Au 0.000 0.000 0.047
3 Au 0.000 0.500 0.699
4 Ag 0.500 0.500 0.207



The following is a DFT calculation (GGA-PBEsol) of an optimized crystal structure of RbTeCl3.

magnetization	0.00	μB per formula unit
symmetry	Pm-3m
final energy	-15.31	eV per formula unit

abc: 5.472 5.472 5.472
angles: 90.00 90.00 90.00
Positions (direct):
1 Te 0.000 0.000 0.000
2 Rb 0.500 0.500 0.500
3 Cl 0.000 0.500 0.000
4 Cl 0.000 0.000 0.500
5 Cl 0.500 0.000 0.000



The following is a DFT calculation (GGA-PBEsol) of an optimized crystal structure of KInIr2.

ΔH_f (0 K)	620	meV per atom
magnetization	0.00	μB per formula unit
symmetry	P2/m
final energy	-21.28	eV per formula unit

abc: 2.790 4.663 6.528
angles: 90.00 98.85 90.00
Positions (direct):
1 In 0.000 0.500 0.500
2 Ir 0.793 0.000 0.671
3 Ir 0.207 0.000 0.329
4 K 0.500 0.500 0.000



The following is a DFT calculation (GGA-PBEsol) of an optimized crystal structure of TaCrPd3.

ΔH_f (0 K)	1198	meV per atom
magnetization	0.47	μB per formula unit
symmetry	Pm-3m
final energy	-34.68	eV per formula unit

abc: 4.431 4.431 4.431
angles: 90.00 90.00 90.00
Positions (direct):
1 Cr 0.000 0.000 0.000
2 Pd 0.000 0.500 0.000
3 Pd 0.000 0.000 0.500
4 Pd 0.500 0.000 0.000
5 Ta 0.500 0.500 0.500



The following is a DFT calculation (GGA-PBEsol) of an optimized crystal structure of LiPbSe2.

magnetization	0.00	μB per formula unit
symmetry	P4/mmm
final energy	-16.03	eV per formula unit

abc: 4.100 4.100 5.591
angles: 90.00 90.00 90.00
Positions (direct):
1 Pb 0.500 0.500 0.500
2 Se 0.000 0.000 0.500
3 Se 0.500 0.500 0.000
4 Li 0.000 0.000 0.000



The following is a DFT calculation (GGA-PBEsol) of an optimized crystal structure of LiSbAu2.

magnetization	0.00	μB per formula unit
symmetry	Pmm2
final energy	-15.25	eV per formula unit

abc: 3.122 4.059 5.716
angles: 90.00 90.00 90.00
Positions (direct):
1 Au 0.000 0.000 0.009
2 Au 0.500 0.500 0.267
3 Li 0.000 0.000 0.471
4 Sb 0.500 0.500 0.754



The following is a DFT calculation (GGA-PBEsol) of an optimized crystal structure of CaMgS2.

magnetization	0.00	μB per formula unit
symmetry	R-3m
final energy	-16.41	eV per formula unit

abc: 3.984 3.984 7.969
angles: 75.52 75.52 60.00
Positions (direct):
1 Mg 0.500 0.500 0.500
2 Ca 0.000 0.000 0.000
3 S 0.890 0.890 0.330
4 S 0.110 0.110 0.670



The following is a DFT calculation (GGA-PBEsol) of an optimized crystal structure of AgMoW.

ΔH_f (0 K)	494	meV per atom
magnetization	0.00	μB per formula unit
symmetry	Imm2
final energy	-27.40	eV per formula unit
energy relative to the lowest polymorph listed for this composition	4	kJ/mol of formula units

abc: 2.588 4.312 4.915
angles: 116.01 105.27 90.00
Positions (direct):
1 Ag 0.000 0.000 0.000
2 Mo 0.667 0.667 0.334
3 W 0.333 0.333 0.666



The following is a DFT calculation (GGA-PBEsol) of an optimized crystal structure of SbMoOs2.

magnetization	0.00	μB per formula unit
symmetry	P2/m
final energy	-38.92	eV per formula unit

abc: 2.858 4.173 5.472
angles: 90.00 103.38 90.00
Positions (direct):
1 Mo 0.500 0.500 0.500
2 Os 0.109 0.000 0.742
3 Os 0.891 0.000 0.258
4 Sb 0.500 0.500 0.000



The following is a DFT calculation (GGA-PBEsol) of an optimized crystal structure of MgSiSb2.

magnetization	0.00	μB per formula unit
symmetry	Imm2
final energy	-16.08	eV per formula unit

abc: 3.677 4.635 6.045
angles: 112.54 107.71 90.00
Positions (direct):
1 Sb 0.984 0.984 0.969
2 Sb 0.216 0.716 0.431
3 Si 0.514 0.514 0.028
4 Mg 0.786 0.286 0.572



The following is a DFT calculation (GGA-PBEsol) of an optimized crystal structure of KCoAg2Mo.

ΔH_f (0 K)	1746	meV per atom
magnetization	5.82	μB per formula unit
symmetry	P4/mmm
final energy	-18.53	eV per formula unit

abc: 4.814 4.814 4.743
angles: 90.00 90.00 90.00
Positions (direct):
1 Mo 0.500 0.500 0.500
2 Co 0.000 0.000 0.000
3 K 0.000 0.000 0.500
4 Ag 0.000 0.500 0.000
5 Ag 0.500 0.000 0.000



The following is a DFT calculation (GGA-PBEsol) of an optimized crystal structure of Zn3P.

ΔH_f (0 K)	161	meV per atom
magnetization	0.00	μB per formula unit
symmetry	Cmmm
final energy	-9.89	eV per formula unit
energy relative to the lowest polymorph listed for this composition	25	kJ/mol of formula units

abc: 2.637 4.779 4.779
angles: 106.42 90.00 90.00
Positions (direct):
1 P 0.000 0.000 0.000
2 Zn 0.500 0.000 0.500
3 Zn 0.500 0.500 0.000
4 Zn 0.000 0.500 0.500



The following is a DFT calculation (GGA-PBEsol) of an optimized crystal structure of AlInPdPt2.

ΔH_f (0 K)	963	meV per atom
magnetization	0.00	μB per formula unit
symmetry	P4/mmm
final energy	-22.14	eV per formula unit

abc: 4.764 4.852 4.852
angles: 90.00 90.00 90.00
Positions (direct):
1 Al 0.500 0.500 0.500
2 Pd 0.500 0.000 0.000
3 Pt 0.000 0.000 0.500
4 Pt 0.000 0.500 0.000
5 In 0.000 0.000 0.000



The following is a DFT calculation (GGA-PBEsol) of an optimized crystal structure of KZrCr2Au.

ΔH_f (0 K)	1149	meV per atom
magnetization	7.82	μB per formula unit
symmetry	P4/mmm
final energy	-28.89	eV per formula unit

abc: 5.109 5.178 5.178
angles: 90.00 90.00 90.00
Positions (direct):
1 Cr 0.000 0.000 0.500
2 Cr 0.000 0.500 0.000
3 K 0.500 0.500 0.500
4 Au 0.000 0.000 0.000
5 Zr 0.500 0.000 0.000



The following is a DFT calculation (GGA-PBEsol) of an optimized crystal structure of AlNiP2.

ΔH_f (0 K)	77	meV per atom
magnetization	0.00	μB per formula unit
symmetry	P4/mmm
final energy	-21.52	eV per formula unit

abc: 3.261 3.990 3.990
angles: 90.00 90.00 90.00
Positions (direct):
1 Ni 0.500 0.000 0.000
2 Al 0.500 0.500 0.500
3 P 0.000 0.000 0.500
4 P 0.000 0.500 0.000